A plane-wave DFT calculation with PBE-GGA was carried out for TeMoSe2 after structural relaxation.

Structure (extended XYZ):
```
4
Lattice="1.888 0.000 9.719 -0.944 1.635 9.719 -0.944 -1.635 9.719" Properties=species:S:1:pos:R:3 pbc="T T T"
Te 0.000 0.000 14.579
Se 0.000 0.000 2.373
Se 0.000 0.000 26.784
Mo 0.000 0.000 0.000
```

Output
formation energy without anion corrections = 0.690 eV per atom
SG = R-3m

A plane-wave DFT calculation with PBE-GGA was carried out for Te2MoSe after structural relaxation.

Structure (extended XYZ):
```
4
Lattice="-1.509 2.358 1.572 -5.807 -1.204 -3.767 1.308 -3.124 5.940" Properties=species:S:1:pos:R:3 pbc="T T T"
Te -2.447 -0.160 1.171
Te 0.521 -2.014 3.520
Mo -1.596 -2.495 2.210
Se -3.428 -2.589 3.871
```

Output
formation energy without anion corrections = -0.085 eV per atom
SG = Pm